Compound: NbZn2Mo
Source: the Alexandria database
Functional: GGA-PBE
Structure: relaxed

Summary:
Density   8.5 g/cm³
SG   Fm-3m (225)
Electronic total energy   -0.2068 hartree per atom
ΔE to the lowest computed polymorph   0 meV per atom
Energy of formation   0.2348 eV per atom

Cell: 4.4458 4.4458 4.4458 Å, 60.00 60.00 60.00°
Element x y z (fractional)
Zn 0.2500 0.2500 0.2500
Zn 0.7500 0.7500 0.7500
Mo 0.5000 0.5000 0.5000
Nb 0.0000 0.0000 0.0000

---

Compound: Nb6ZnMo
Source: the Alexandria database
Functional: GGA-PBE
Structure: relaxed

Summary:
Density   8.5 g/cm³
SG   I4/mmm (139)
Electronic total energy   -0.3329 hartree per atom
Energy of formation   0.0065 eV per atom

Cell: 4.6482 4.6482 7.3027 Å, 71.44 71.44 90.00°
Element x y z (fractional)
Nb 0.7509 0.7509 0.4982
Nb 0.6232 0.1232 0.7536
Nb 0.1232 0.6232 0.7536
Nb 0.3768 0.8768 0.2464
Nb 0.2491 0.2491 0.5018
Nb 0.8768 0.3768 0.2464
Zn 0.5000 0.5000 0.0000
Mo 0.0000 0.0000 0.0000

---

Compound: ZrNbMo2
Source: the Alexandria database
Functional: GGA-PBE
Structure: relaxed

Summary:
Density   8.8 g/cm³
SG   Fm-3m (225)
Electronic total energy   -0.3711 hartree per atom
ΔE to the lowest computed polymorph   6 meV per atom
Energy of formation   -0.0275 eV per atom

Cell: 4.6476 4.6476 4.6476 Å, 60.00 60.00 60.00°
Element x y z (fractional)
Mo 0.2500 0.2500 0.2500
Mo 0.7500 0.7500 0.7500
Nb 0.5000 0.5000 0.5000
Zr 0.0000 0.0000 0.0000

---

Compound: ZrNb2Mo2
Source: the Alexandria database
Functional: GGA-PBE
Structure: relaxed

Summary:
Density   8.7 g/cm³
SG   Fmm2 (42)
Electronic total energy   -0.3692 hartree per atom
ΔE to the lowest computed polymorph   69 meV per atom
Energy of formation   0.0231 eV per atom

Cell: 2.8670 2.8670 11.7876 Å, 85.50 85.50 110.82°
Element x y z (fractional)
Zr 0.9940 0.9940 0.0120
Nb 0.2064 0.2064 0.5873
Nb 0.6059 0.6059 0.7883
Mo 0.3916 0.3916 0.2168
Mo 0.8021 0.8021 0.3957

---

Compound: ZrNb4Mo
Source: the Alexandria database
Functional: GGA-PBE
Structure: relaxed

Summary:
Density   8.4 g/cm³
SG   C2/m (12)
Electronic total energy   -0.3659 hartree per atom
Energy of formation   -0.0132 eV per atom

Cell: 4.7439 5.5306 5.5637 Å, 96.99 115.23 115.40°
Element x y z (fractional)
Zr 0.5000 0.0000 0.5000
Nb 0.3365 0.4916 0.6813
Nb 0.6635 0.5084 0.3187
Nb 0.1637 0.9832 0.8441
Nb 0.8363 0.0168 0.1559
Mo 0.0000 0.5000 0.0000

---

Compound: ZrNb2Mo2
Source: the Alexandria database
Functional: GGA-PBE
Structure: relaxed

Summary:
Density   8.3 g/cm³
SG   P4/mbm (127)
Electronic total energy   -0.3591 hartree per atom
ΔE to the lowest computed polymorph   344 meV per atom
Energy of formation   0.2980 eV per atom

Cell: 7.6479 7.6479 3.2149 Å, 90.00 90.00 90.00°
Element x y z (fractional)
Mo 0.3523 0.8523 0.0000
Mo 0.8523 0.6477 0.0000
Mo 0.6477 0.1477 0.0000
Mo 0.1477 0.3523 0.0000
Nb 0.1501 0.6501 0.5000
Nb 0.6501 0.8499 0.5000
Nb 0.8499 0.3499 0.5000
Nb 0.3499 0.1501 0.5000
Zr 0.0000 0.0000 0.0000
Zr 0.5000 0.5000 0.0000

---

Compound: ZrNb5Mo6
Source: the Alexandria database
Functional: GGA-PBE
Structure: relaxed

Summary:
Density   9.1 g/cm³
SG   Immm (71)
Electronic total energy   -0.3830 hartree per atom
Energy of formation   -0.0986 eV per atom

Cell: 4.6110 6.4977 7.9450 Å, 114.14 106.87 90.00°
Element x y z (fractional)
Nb 0.6672 0.1672 0.3343
Nb 0.3331 0.3331 0.6662
Nb 0.0000 0.5000 0.0000
Nb 0.6669 0.6669 0.3338
Nb 0.3328 0.8328 0.6657
Mo 0.8312 0.5785 0.6624
Mo 0.8312 0.0839 0.6624
Mo 0.5000 0.7445 0.0000
Mo 0.5000 0.2555 0.0000
Mo 0.1688 0.9161 0.3376
Mo 0.1688 0.4215 0.3376
Zr 0.0000 0.0000 0.0000

---

Compound: ZrNbMo2
Source: the Alexandria database
Functional: GGA-PBE
Structure: relaxed

Summary:
Density   8.8 g/cm³
SG   P4/mmm (123)
Electronic total energy   -0.3713 hartree per atom
ΔE to the lowest computed polymorph   0 meV per atom
Energy of formation   -0.0338 eV per atom

Cell: 3.2697 3.2697 6.6555 Å, 90.00 90.00 90.00°
Element x y z (fractional)
Mo 0.0000 0.0000 0.7625
Mo 0.0000 0.0000 0.2375
Nb 0.5000 0.5000 0.0000
Zr 0.5000 0.5000 0.5000

---

Compound: ZrNbMo2
Source: the Alexandria database
Functional: GGA-PBE
Structure: relaxed

Summary:
Density   8.2 g/cm³
SG   I-42d (122)
Electronic total energy   -0.3473 hartree per atom
ΔE to the lowest computed polymorph   653 meV per atom
Energy of formation   0.6196 eV per atom

Cell: 7.3487 7.3487 5.9099 Å, 51.56 51.56 90.00°
Element x y z (fractional)
Mo 0.6414 0.1250 0.2500
Mo 0.1086 0.6250 0.2500
Mo 0.3750 0.3586 0.7500
Mo 0.8750 0.8914 0.7500
Nb 0.0000 0.0000 0.0000
Nb 0.7500 0.2500 0.5000
Zr 0.5000 0.5000 0.0000
Zr 0.2500 0.7500 0.5000

---

Compound: ZrNb2Mo2
Source: the Alexandria database
Functional: GGA-PBE
Structure: relaxed

Summary:
Density   8.7 g/cm³
SG   P2_1/m (11)
Electronic total energy   -0.3717 hartree per atom
ΔE to the lowest computed polymorph   0 meV per atom
Energy of formation   -0.0458 eV per atom

Cell: 3.2973 4.7274 11.6113 Å, 90.00 98.25 90.00°
Element x y z (fractional)
Zr 0.8530 0.7500 0.7061
Zr 0.1470 0.2500 0.2939
Nb 0.0487 0.7500 0.0972
Nb 0.9513 0.2500 0.9028
Nb 0.2431 0.7500 0.4878
Nb 0.7569 0.2500 0.5122
Mo 0.6495 0.7500 0.2980
Mo 0.3505 0.2500 0.7020
Mo 0.4546 0.7500 0.9080
Mo 0.5454 0.2500 0.0920

---

Compound: ZrNbMo2
Source: the Alexandria database
Functional: GGA-PBE
Structure: relaxed

Summary:
Density   8.8 g/cm³
SG   P4/mmm (123)
Electronic total energy   -0.3706 hartree per atom
ΔE to the lowest computed polymorph   19 meV per atom
Energy of formation   -0.0151 eV per atom

Cell: 3.2947 4.6399 4.6399 Å, 90.00 90.00 90.00°
Element x y z (fractional)
Mo 0.0000 0.0000 0.5000
Mo 0.0000 0.5000 0.0000
Nb 0.5000 0.0000 0.0000
Zr 0.5000 0.5000 0.5000

---

Compound: ZrNb4Mo5
Source: the Alexandria database
Functional: GGA-PBE
Structure: relaxed

Summary:
Density   9.1 g/cm³
SG   P4/mmm (123)
Electronic total energy   -0.3819 hartree per atom
Energy of formation   -0.0943 eV per atom

Cell: 3.2472 3.2472 16.3466 Å, 90.00 90.00 90.00°
Element x y z (fractional)
Zr 0.0000 0.0000 0.0000
Nb 0.0000 0.0000 0.2037
Nb 0.0000 0.0000 0.4016
Nb 0.0000 0.0000 0.5984
Nb 0.0000 0.0000 0.7963
Mo 0.5000 0.5000 0.1077
Mo 0.5000 0.5000 0.3033
Mo 0.5000 0.5000 0.5000
Mo 0.5000 0.5000 0.6967
Mo 0.5000 0.5000 0.8923